A plane-wave DFT calculation with PBE was carried out for Tb5In4Sn after structural relaxation. Values from VASP.

Output
Magnetization: 0.00 Bohr magnetons per cell
Space-group type: No. 123
Energy of formation: -4.935 eV per formula unit

```
&SYSTEM
  ibrav = 0, nat = 10, ntyp = 3
/
ATOMIC_SPECIES
Tb 158.93 Tb.upf
In 114.82 In.upf
Sn 118.71 Sn.upf
ATOMIC_POSITIONS crystal
Tb 0.000 0.000 0.000
Tb 0.000 0.000 0.199
Tb 0.000 0.000 0.400
Tb 0.000 0.000 0.600
Tb 0.000 0.000 0.801
In 0.500 0.500 0.099
In 0.500 0.500 0.297
In 0.500 0.500 0.703
In 0.500 0.500 0.901
Sn 0.500 0.500 0.500
CELL_PARAMETERS angstrom
3.727 0.000 0.000
0.000 3.727 0.000
0.000 0.000 19.378
```



A plane-wave DFT calculation with PBE was carried out for LaTeOsI2 after structural relaxation. Values from VASP.

Output
Magnetization: 5.01 Bohr magnetons per cell
Space-group type: No. 123
Energy relative to the elements, uncorrected: 0.69 eV/atom

```
&SYSTEM
  ibrav = 0, nat = 5, ntyp = 4
/
ATOMIC_SPECIES
La 138.91 La.upf
Te 127.60 Te.upf
Os 190.23 Os.upf
I 126.90 I.upf
ATOMIC_POSITIONS crystal
La 0.000 0.000 0.000
Te 0.000 0.000 0.500
Os 0.500 0.500 0.500
I 0.000 0.500 0.000
I 0.500 0.000 0.000
CELL_PARAMETERS angstrom
6.218 0.000 0.000
0.000 6.218 0.000
0.000 0.000 6.273
```



What did the second record say?
A plane-wave DFT calculation with PBE was carried out for LaTeOsI2 after structural relaxation. Values from VASP.

Output
Magnetization: 5.01 Bohr magnetons per cell
Space-group type: No. 123
Energy relative to the elements, uncorrected: 0.69 eV/atom

```
&SYSTEM
  ibrav = 0, nat = 5, ntyp = 4
/
ATOMIC_SPECIES
La 138.91 La.upf
Te 127.60 Te.upf
Os 190.23 Os.upf
I 126.90 I.upf
ATOMIC_POSITIONS crystal
La 0.000 0.000 0.000
Te 0.000 0.000 0.500
Os 0.500 0.500 0.500
I 0.000 0.500 0.000
I 0.500 0.000 0.000
CELL_PARAMETERS angstrom
6.218 0.000 0.000
0.000 6.218 0.000
0.000 0.000 6.273
```



- Among the records above, which one has the lowest magnetization?
  Tb5In4Sn



- magnetization of number 1 (Tb5In4Sn)?
  0.00 Bohr magnetons per cell